Record 1
TiTe2H2 | Alexandria via LeMat-Bulk | GGA-PBE | optimized geometry; polymorph energy (0 for the lowest one) = 0.00 kJ per mole of atoms
1.0
3.705 -0.011 0.367
1.843 3.214 0.367
0.505 0.292 9.884
H Te Ti
2 2 1
Direct
0.536 0.536 0.526
0.464 0.464 0.474
0.285 0.285 0.180
0.715 0.715 0.820
0.000 0.000 0.000

=====

Record 2
TiTeH2 | Alexandria via LeMat-Bulk | GGA-PBE | optimized geometry; polymorph energy (0 for the lowest one) = 0.00 kJ per mole of atoms
1.0
3.195 0.001 1.148
1.391 2.876 1.148
-0.072 -0.045 5.208
Te H Ti
1 2 1
Direct
0.492 0.492 0.524
0.005 0.005 0.984
0.312 0.312 0.066
0.691 0.691 0.926

=====

Record 3
TiTe2H | Alexandria via LeMat-Bulk | GGA-PBE | optimized geometry; polymorph energy (0 for the lowest one) = 16.47 kJ per mole of atoms
1.0
2.284 4.131 5.919
4.245 5.564 2.888
0.578 6.673 3.529
Te H Ti
2 1 1
Direct
0.091 0.091 0.091
0.909 0.909 0.909
0.000 0.000 0.000
0.500 0.500 0.500

=====

Record 4
TiTe2H | Alexandria via LeMat-Bulk | GGA-PBE | optimized geometry; polymorph energy (0 for the lowest one) = 108.88 kJ per mole of atoms
1.0
-6.443 4.214 4.400
-7.128 1.089 5.161
-4.869 2.744 6.884
Ti Te H
1 2 1
Direct
0.000 0.000 0.000
0.104 0.104 0.104
0.896 0.896 0.896
0.500 0.500 0.500

=====

Record 5
Ti7Te3H2 | Alexandria via LeMat-Bulk | GGA-PBE | optimized geometry; total DFT energy (no corrections) = -76.281 eV per cell
1.0
-1.879 2.972 -2.238
-3.548 -1.445 1.060
1.718 7.425 8.420
Te H Ti
3 2 7
Direct
0.500 0.683 0.367
0.500 0.500 0.000
0.500 0.317 0.633
0.000 0.907 0.815
0.000 0.093 0.185
0.000 0.000 0.000
0.500 0.094 0.188
0.500 0.906 0.812
0.000 0.806 0.612
0.000 0.194 0.388
0.000 0.406 0.813
0.000 0.594 0.187

=====

Record 6
TiTeH2 | Alexandria via LeMat-Bulk | GGA-PBE | optimized geometry; polymorph energy (0 for the lowest one) = 7.74 kJ per mole of atoms
1.0
3.356 0.003 0.000
-1.677 5.103 0.000
0.000 0.000 5.808
H Te Ti
4 2 2
Direct
0.700 0.398 0.424
0.300 0.602 0.576
0.300 0.602 0.924
0.700 0.398 0.076
0.039 0.077 0.750
0.961 0.923 0.250
0.248 0.497 0.250
0.752 0.503 0.750

=====

Record 7
TiTe2H | Alexandria via LeMat-Bulk | GGA-PBE | optimized geometry; polymorph energy (0 for the lowest one) = 55.23 kJ per mole of atoms
1.0
5.950 0.000 0.000
0.000 5.950 0.000
2.975 2.975 5.571
Te Ti H
4 2 2
Direct
0.586 0.125 0.250
0.875 0.836 0.750
0.375 0.414 0.750
0.164 0.625 0.250
0.750 0.250 0.500
0.000 0.000 0.000
0.250 0.750 0.500
0.500 0.500 0.000

=====

Record 8
TiTe2H2 | Alexandria via LeMat-Bulk | GGA-PBE | optimized geometry; polymorph energy (0 for the lowest one) = 23.27 kJ per mole of atoms
1.0
8.044 0.000 0.403
4.022 4.999 0.201
4.098 0.000 5.958
H Te Ti
4 4 2
Direct
0.876 0.000 0.233
0.836 0.000 0.015
0.124 0.000 0.767
0.164 0.000 0.985
0.648 0.399 0.747
0.352 0.601 0.253
0.954 0.399 0.253
0.046 0.601 0.747
0.131 0.738 0.000
0.869 0.262 0.000

=====

Record 9
TiTe2H | Alexandria via LeMat-Bulk | GGA-PBE | optimized geometry; polymorph energy (0 for the lowest one) = 17.92 kJ per mole of atoms
1.0
-1.675 0.741 3.378
-0.177 -6.562 1.353
6.169 1.430 2.745
Ti Te H
2 4 2
Direct
0.520 0.704 0.728
0.044 0.204 0.728
0.040 0.910 0.974
0.040 0.497 0.482
0.525 0.410 0.974
0.525 0.997 0.482
0.282 0.954 0.228
0.282 0.454 0.228

=====

Record 10
Ti3Te2H | Alexandria via LeMat-Bulk | GGA-PBE | optimized geometry; total DFT energy (no corrections) = -36.866 eV per cell
1.0
-2.572 2.364 -0.446
-1.618 -1.208 2.931
6.702 5.376 3.755
H Te Ti
1 2 3
Direct
0.500 0.133 0.000
0.841 0.765 0.682
0.159 0.082 0.318
0.000 0.913 0.000
0.587 0.512 0.174
0.413 0.338 0.826

=====

Record 11
Ti5Te2H | Alexandria via LeMat-Bulk | GGA-PBE | optimized geometry; total DFT energy (no corrections) = -100.869 eV per cell
1.0
3.543 0.000 0.000
-1.772 7.375 0.000
0.000 0.000 11.898
H Te Ti
2 4 10
Direct
0.214 0.428 0.250
0.786 0.572 0.750
0.935 0.869 0.113
0.065 0.131 0.887
0.935 0.869 0.387
0.065 0.131 0.613
0.311 0.623 0.460
0.132 0.265 0.372
0.311 0.623 0.040
0.868 0.735 0.628
0.689 0.377 0.960
0.868 0.735 0.872
0.689 0.377 0.540
0.132 0.265 0.128
0.245 0.489 0.750
0.755 0.511 0.250

=====

Record 12
TiTeH2 | Alexandria via LeMat-Bulk | GGA-PBE | optimized geometry; polymorph energy (0 for the lowest one) = 89.58 kJ per mole of atoms
1.0
-1.796 -0.348 3.684
-3.914 1.159 0.497
-2.922 -2.830 0.605
Ti H Te
1 2 1
Direct
0.000 0.000 0.000
0.250 0.250 0.250
0.750 0.750 0.750
0.500 0.500 0.500

=====

Record 13
TiTeH2 | Alexandria via LeMat-Bulk | GGA-PBE | optimized geometry; polymorph energy (0 for the lowest one) = 32.35 kJ per mole of atoms
1.0
-0.710 -1.940 -3.798
-2.443 -2.971 1.974
-6.083 0.730 -1.696
Ti H Te
2 4 2
Direct
0.500 0.500 0.000
0.250 0.750 0.500
0.375 0.125 0.250
0.375 0.625 0.750
0.875 0.625 0.750
0.375 0.625 0.250
0.000 0.000 0.000
0.750 0.250 0.500

=====

Record 14
Ti4Te5H2 | Alexandria via LeMat-Bulk | GGA-PBE | optimized geometry; total DFT energy (no corrections) = -60.159 eV per cell
1.0
-0.333 3.478 0.603
-3.522 0.914 -7.218
-6.615 -3.320 5.066
Ti H Te
4 2 5
Direct
0.999 0.261 0.998
0.599 0.550 0.199
0.401 0.450 0.801
0.001 0.739 0.002
0.500 0.629 0.000
0.500 0.371 0.000
0.500 0.000 0.000
0.842 0.651 0.683
0.158 0.349 0.317
0.840 0.191 0.680
0.160 0.809 0.320

=====

Record 15
TiTe3H | Alexandria via LeMat-Bulk | GGA-PBE | optimized geometry; polymorph energy (0 for the lowest one) = 28.93 kJ per mole of atoms
1.0
-2.732 -1.781 3.399
3.522 -2.820 1.354
1.523 3.327 2.967
Te H Ti
3 1 1
Direct
0.000 0.000 0.500
0.000 0.500 0.000
0.500 0.000 0.000
0.000 0.000 0.000
0.500 0.500 0.500

=====

Record 16
TiVTe2H | Alexandria via LeMat-Bulk | GGA-PBE | optimized geometry; total DFT energy (no corrections) = -21.838 eV per cell
1.0
5.289 0.000 0.000
0.000 5.289 0.000
0.000 0.000 4.506
Ti H Te V
1 1 2 1
Direct
0.000 0.000 0.000
0.500 0.500 0.500
0.000 0.500 0.000
0.500 0.000 0.000
0.000 0.000 0.500

=====

Record 17
YTiTeH2 | Alexandria via LeMat-Bulk | GGA-PBE | optimized geometry; total DFT energy (no corrections) = -20.287 eV per cell
1.0
4.132 0.000 0.000
0.000 6.377 0.000
0.000 0.000 4.132
Te H Ti Y
1 2 1 1
Direct
0.000 0.000 0.000
0.500 0.000 0.000
0.000 0.000 0.500
0.500 0.500 0.500
0.000 0.500 0.000

=====

Record 18
Zr2TiTeH | Alexandria via LeMat-Bulk | GGA-PBE | optimized geometry; total DFT energy (no corrections) = -33.445 eV per cell
1.0
-1.909 -3.087 2.647
2.943 0.969 3.253
-2.572 2.856 1.476
H Zr Te Ti
1 2 1 1
Direct
0.000 0.000 0.000
0.000 0.500 0.000
0.500 0.000 0.000
0.500 0.500 0.500
0.000 0.000 0.500

=====

Record 19
Tl3Te2H | Alexandria via LeMat-Bulk | GGA-PBE | optimized geometry; total DFT energy (no corrections) = -34.026 eV per cell
1.0
-4.003 -0.201 2.188
-0.894 -2.803 -6.657
5.065 -9.155 8.424
Te Tl H
4 6 2
Direct
0.665 0.331 0.380
0.335 0.669 0.620
0.856 0.711 0.176
0.144 0.289 0.824
0.377 0.753 0.010
0.086 0.171 0.238
0.623 0.247 0.990
0.389 0.779 0.365
0.914 0.829 0.762
0.611 0.221 0.635
0.892 0.784 0.887
0.108 0.216 0.113

=====

Record 20
TlTeH2 | Alexandria via LeMat-Bulk | GGA-PBE | optimized geometry; polymorph energy (0 for the lowest one) = 0.00 kJ per mole of atoms
1.0
-0.583 3.780 -2.824
-7.229 -4.415 -0.430
-2.066 2.956 4.383
H Te Tl
4 2 2
Direct
0.252 0.501 0.316
0.252 0.501 0.184
0.748 0.499 0.684
0.748 0.499 0.816
0.468 0.936 0.750
0.532 0.064 0.250
0.900 0.799 0.250
0.100 0.201 0.750

=====

Record 21
TlTeH2 | Alexandria via LeMat-Bulk | GGA-PBE | optimized geometry; polymorph energy (0 for the lowest one) = 76.19 kJ per mole of atoms
1.0
0.000 3.206 3.206
3.206 0.000 3.206
3.206 3.206 0.000
H Te Tl
2 1 1
Direct
0.750 0.750 0.750
0.250 0.250 0.250
0.000 0.000 0.000
0.500 0.500 0.500

=====

Record 22
Tl4TeH4 | Alexandria via LeMat-Bulk | GGA-PBE | optimized geometry; total DFT energy (no corrections) = -47.078 eV per cell
1.0
-2.152 2.314 -2.605
-6.768 -6.602 -0.273
-4.353 4.162 7.294
H Te Tl
8 2 8
Direct
0.499 0.647 0.868
0.001 0.147 0.368
0.501 0.132 0.647
0.499 0.353 0.132
0.999 0.368 0.853
0.999 0.632 0.147
0.001 0.853 0.632
0.501 0.868 0.353
0.000 0.000 0.000
0.500 0.500 0.500
0.501 0.918 0.730
0.499 0.270 0.918
0.499 0.730 0.082
0.999 0.418 0.230
0.001 0.230 0.582
0.999 0.582 0.770
0.001 0.770 0.418
0.501 0.082 0.270

=====

Record 23
Tl3TeH2 | Alexandria via LeMat-Bulk | GGA-PBE | optimized geometry; total DFT energy (no corrections) = -32.317 eV per cell
1.0
6.597 -0.315 -3.518
-0.513 18.012 0.546
-2.775 2.777 4.019
Tl Te H
6 2 4
Direct
0.245 0.744 0.958
0.197 0.019 0.422
0.232 0.503 0.497
0.803 0.981 0.578
0.755 0.256 0.042
0.768 0.497 0.503
0.234 0.246 0.072
0.766 0.754 0.928
0.273 0.308 0.760
0.976 0.917 0.242
0.024 0.083 0.758
0.727 0.692 0.240

=====

Record 24
Tl3Te2H4 | Alexandria via LeMat-Bulk | GGA-PBE | optimized geometry; total DFT energy (no corrections) = -25.232 eV per cell
1.0
-3.749 1.664 1.017
-4.564 2.390 6.000
-5.866 14.978 9.654
H Te Tl
4 2 3
Direct
0.207 0.816 0.823
0.984 0.532 0.568
0.793 0.184 0.177
0.016 0.468 0.432
0.939 0.274 0.204
0.061 0.726 0.796
0.000 0.000 0.000
0.661 0.439 0.404
0.339 0.561 0.596